Entry 1:
# meta-GGA SCAN TiZnCd2Ge, PBEsol geometry
data_TiZnCd2Ge
_chemical_formula_sum 'Ti1 Zn1 Cd2 Ge1'
_cell_length_a 4.8337
_cell_length_b 4.9018
_cell_length_c 4.9018
_cell_angle_alpha 90.00
_cell_angle_beta 90.00
_cell_angle_gamma 90.00
_symmetry_space_group_name_H-M 'P 1'
_symmetry_Int_Tables_number 1
loop_
_symmetry_equiv_pos_as_xyz
'x,y,z'
loop_
_atom_site_label
_atom_site_type_symbol
_atom_site_fract_x
_atom_site_fract_y
_atom_site_fract_z
_atom_site_occupancy
Ti1 Ti 0.5000 0.0000 0.0000 1
Zn1 Zn 0.5000 0.5000 0.5000 1
Cd1 Cd 0.0000 0.0000 0.5000 1
Cd2 Cd 0.0000 0.5000 0.0000 1
Ge1 Ge 0.0000 0.0000 0.0000 1
# D(E_F) ... 0.39 states/eV/atom
# Spin magnetization ... 0.52 Bohr magnetons per cell
# Energy ... -106.63 eV per cell
# DFT formation energy ... 567 meV per atom

=====

Entry 2:
# meta-GGA SCAN Tl2Cd2Ge, PBEsol geometry
data_Tl2Cd2Ge
_chemical_formula_sum 'Tl2 Cd2 Ge1'
_cell_length_a 3.8807
_cell_length_b 3.8807
_cell_length_c 8.9702
_cell_angle_alpha 102.49
_cell_angle_beta 102.49
_cell_angle_gamma 90.00
_symmetry_space_group_name_H-M 'P 1'
_symmetry_Int_Tables_number 1
loop_
_symmetry_equiv_pos_as_xyz
'x,y,z'
loop_
_atom_site_label
_atom_site_type_symbol
_atom_site_fract_x
_atom_site_fract_y
_atom_site_fract_z
_atom_site_occupancy
Ge1 Ge 0.0000 0.0000 0.0000 1
Tl1 Tl 0.5948 0.5948 0.1896 1
Cd1 Cd 0.2500 0.7500 0.5000 1
Tl2 Tl 0.4052 0.4052 0.8104 1
Cd2 Cd 0.7500 0.2500 0.5000 1
# D(E_F) ... 0.49 states/eV/atom
# Spin magnetization ... 0.00 Bohr magnetons per cell
# Energy ... -223.17 eV per cell
# DFT formation energy ... 292 meV per atom

=====

Entry 3:
# meta-GGA SCAN Tm2CdGe2, PBEsol geometry
data_Tm2CdGe2
_chemical_formula_sum 'Tm4 Cd2 Ge4'
_cell_length_a 4.0783
_cell_length_b 7.1243
_cell_length_c 7.1243
_cell_angle_alpha 90.00
_cell_angle_beta 90.00
_cell_angle_gamma 90.00
_symmetry_space_group_name_H-M 'P 1'
_symmetry_Int_Tables_number 1
loop_
_symmetry_equiv_pos_as_xyz
'x,y,z'
loop_
_atom_site_label
_atom_site_type_symbol
_atom_site_fract_x
_atom_site_fract_y
_atom_site_fract_z
_atom_site_occupancy
Tm1 Tm 0.5000 0.3228 0.8228 1
Cd1 Cd 0.0000 0.0000 0.0000 1
Ge1 Ge 0.0000 0.1233 0.6233 1
Tm2 Tm 0.5000 0.8228 0.6772 1
Ge2 Ge 0.0000 0.3767 0.1233 1
Tm3 Tm 0.5000 0.1772 0.3228 1
Ge3 Ge 0.0000 0.8767 0.3767 1
Tm4 Tm 0.5000 0.6772 0.1772 1
Cd2 Cd 0.0000 0.5000 0.5000 1
Ge4 Ge 0.0000 0.6233 0.8767 1
# D(E_F) ... 0.29 states/eV/atom
# Spin magnetization ... 0.00 Bohr magnetons per cell
# Energy ... -352.28 eV per cell
# DFT formation energy ... -777 meV per atom

=====

Entry 4:
# meta-GGA SCAN YCd2Ge2, PBEsol geometry
data_YCd2Ge2
_chemical_formula_sum 'Y1 Cd2 Ge2'
_cell_length_a 4.1229
_cell_length_b 4.1229
_cell_length_c 6.8713
_cell_angle_alpha 107.46
_cell_angle_beta 107.46
_cell_angle_gamma 90.00
_symmetry_space_group_name_H-M 'P 1'
_symmetry_Int_Tables_number 1
loop_
_symmetry_equiv_pos_as_xyz
'x,y,z'
loop_
_atom_site_label
_atom_site_type_symbol
_atom_site_fract_x
_atom_site_fract_y
_atom_site_fract_z
_atom_site_occupancy
Y1 Y 0.0000 0.0000 0.0000 1
Ge1 Ge 0.4011 0.4011 0.8022 1
Cd1 Cd 0.2500 0.7500 0.5000 1
Cd2 Cd 0.7500 0.2500 0.5000 1
Ge2 Ge 0.5989 0.5989 0.1978 1
# D(E_F) ... 0.27 states/eV/atom
# Spin magnetization ... 0.00 Bohr magnetons per cell
# Energy ... -128.42 eV per cell
# DFT formation energy ... -315 meV per atom

=====

Entry 5:
# meta-GGA SCAN Hf3CdH, PBEsol geometry
data_Hf3CdH
_chemical_formula_sum 'Hf3 Cd1 H1'
_cell_length_a 4.3646
_cell_length_b 4.3646
_cell_length_c 4.3646
_cell_angle_alpha 90.00
_cell_angle_beta 90.00
_cell_angle_gamma 90.00
_symmetry_space_group_name_H-M 'P 1'
_symmetry_Int_Tables_number 1
loop_
_symmetry_equiv_pos_as_xyz
'x,y,z'
loop_
_atom_site_label
_atom_site_type_symbol
_atom_site_fract_x
_atom_site_fract_y
_atom_site_fract_z
_atom_site_occupancy
Hf1 Hf 0.0000 0.0000 0.5000 1
Cd1 Cd 0.5000 0.5000 0.5000 1
Hf2 Hf 0.5000 0.0000 0.0000 1
Hf3 Hf 0.0000 0.5000 0.0000 1
H1 H 0.0000 0.0000 0.0000 1
# D(E_F) ... 0.36 states/eV/atom
# Spin magnetization ... 0.00 Bohr magnetons per cell
# Energy ... -222.95 eV per cell

=====

Entry 6:
# meta-GGA SCAN Hf2CdH2, PBEsol geometry
data_Hf2CdH2
_chemical_formula_sum 'Hf2 Cd1 H2'
_cell_length_a 3.6701
_cell_length_b 3.6701
_cell_length_c 5.4853
_cell_angle_alpha 109.54
_cell_angle_beta 109.54
_cell_angle_gamma 90.00
_symmetry_space_group_name_H-M 'P 1'
_symmetry_Int_Tables_number 1
loop_
_symmetry_equiv_pos_as_xyz
'x,y,z'
loop_
_atom_site_label
_atom_site_type_symbol
_atom_site_fract_x
_atom_site_fract_y
_atom_site_fract_z
_atom_site_occupancy
H1 H 0.7500 0.2500 0.5000 1
Hf1 Hf 0.6584 0.6584 0.3169 1
Hf2 Hf 0.3416 0.3416 0.6831 1
Cd1 Cd 0.0000 0.0000 0.0000 1
H2 H 0.2500 0.7500 0.5000 1
# D(E_F) ... 0.54 states/eV/atom
# Spin magnetization ... 0.00 Bohr magnetons per cell
# Energy ... -164.20 eV per cell

=====

Entry 7:
# meta-GGA SCAN HfCdTeH2, PBEsol geometry
data_HfCdTeH2
_chemical_formula_sum 'Hf1 Cd1 Te1 H2'
_cell_length_a 4.0101
_cell_length_b 4.0101
_cell_length_c 5.7645
_cell_angle_alpha 90.00
_cell_angle_beta 90.00
_cell_angle_gamma 90.00
_symmetry_space_group_name_H-M 'P 1'
_symmetry_Int_Tables_number 1
loop_
_symmetry_equiv_pos_as_xyz
'x,y,z'
loop_
_atom_site_label
_atom_site_type_symbol
_atom_site_fract_x
_atom_site_fract_y
_atom_site_fract_z
_atom_site_occupancy
Cd1 Cd 0.5000 0.5000 0.5000 1
Te1 Te 0.0000 0.0000 0.0000 1
H1 H 0.5000 0.0000 0.0000 1
Hf1 Hf 0.0000 0.0000 0.5000 1
H2 H 0.0000 0.5000 0.0000 1
# D(E_F) ... 0.64 states/eV/atom
# Spin magnetization ... 0.00 Bohr magnetons per cell
# Energy ... -134.28 eV per cell

=====

Entry 8:
# meta-GGA SCAN CdHI2, PBEsol geometry
data_CdHI2
_chemical_formula_sum 'Cd1 H1 I2'
_cell_length_a 5.2290
_cell_length_b 5.2290
_cell_length_c 5.2290
_cell_angle_alpha 60.00
_cell_angle_beta 60.00
_cell_angle_gamma 60.00
_symmetry_space_group_name_H-M 'P 1'
_symmetry_Int_Tables_number 1
loop_
_symmetry_equiv_pos_as_xyz
'x,y,z'
loop_
_atom_site_label
_atom_site_type_symbol
_atom_site_fract_x
_atom_site_fract_y
_atom_site_fract_z
_atom_site_occupancy
Cd1 Cd 0.5000 0.5000 0.5000 1
I1 I 0.2500 0.2500 0.2500 1
H1 H 0.0000 0.0000 0.0000 1
I2 I 0.7500 0.7500 0.7500 1
# D(E_F) ... 0.22 states/eV/atom
# Spin magnetization ... 0.99 Bohr magnetons per cell
# Energy ... -105.78 eV per cell